(1)
A plane-wave DFT calculation with PBE-GGA was carried out for ZrTaSi after structural relaxation.

```
data_ZrTaSi
_space_group_name_H-M_alt 'I m a 2'
_space_group_IT_number 46
_cell_length_a 5.203
_cell_length_b 6.391
_cell_length_c 6.384
_cell_angle_alpha 90.00
_cell_angle_beta 90.00
_cell_angle_gamma 90.00
loop_
_space_group_symop_operation_xyz
'x,y,z'
'-x,-y,z'
'-x+1/2,y,z'
'x+1/2,-y,z'
'x+1/2,y+1/2,z+1/2'
'-x+1/2,-y+1/2,z+1/2'
'-x,y+1/2,z+1/2'
'x,-y+1/2,z+1/2'
loop_
_atom_site_label
_atom_site_type_symbol
_atom_site_fract_x
_atom_site_fract_y
_atom_site_fract_z
_atom_site_occupancy
Zr1 Zr 0.250 0.157 0.000 1
Ta1 Ta 0.250 0.663 0.180 1
Si1 Si 0.000 0.000 0.346 1
```

(2)
A plane-wave DFT calculation with PBE-GGA was carried out for RbWAuS3 after structural relaxation.

```
data_RbWAuS3
_space_group_name_H-M_alt 'C m c m'
_space_group_IT_number 63
_space_group_name_Hall '-C 2c 2'
_cell_length_a 3.821
_cell_length_b 15.535
_cell_length_c 9.736
_cell_angle_alpha 90.00
_cell_angle_beta 90.00
_cell_angle_gamma 90.00
loop_
_atom_site_label
_atom_site_type_symbol
_atom_site_fract_x
_atom_site_fract_y
_atom_site_fract_z
_atom_site_occupancy
Rb1 Rb 0.000 0.237 0.250 1
W1 W 0.000 0.500 0.000 1
Au1 Au 0.000 0.077 0.750 1
S1 S 0.000 0.105 0.514 1
S2 S 0.000 0.447 0.750 1
```

(3)
# AgSb (PBE-GGA, optimized geometry)
# - Energy relative to the lowest polymorph listed for this composition: 16 kJ/mol of formula units
data_AgSb
_space_group_name_H-M_alt 'F m -3 m'
_space_group_IT_number 225
_space_group_name_Hall '-F 4 2 3'
_cell_length_a 5.757
_cell_length_b 5.757
_cell_length_c 5.757
_cell_angle_alpha 90.00
_cell_angle_beta 90.00
_cell_angle_gamma 90.00
loop_
_atom_site_label
_atom_site_type_symbol
_atom_site_fract_x
_atom_site_fract_y
_atom_site_fract_z
_atom_site_occupancy
Ag1 Ag 0.000 0.000 0.000 1
Sb1 Sb 0.000 0.000 0.500 1

(4)
A plane-wave DFT calculation with PBE-GGA was carried out for LaSi4Ni9 after structural relaxation.

```
data_LaSi4Ni9
_space_group_name_H-M_alt 'I 4/m c m'
_space_group_IT_number 140
_space_group_name_Hall '-I 4 2c'
_cell_length_a 7.845
_cell_length_b 7.845
_cell_length_c 11.438
_cell_angle_alpha 90.00
_cell_angle_beta 90.00
_cell_angle_gamma 90.00
loop_
_atom_site_label
_atom_site_type_symbol
_atom_site_fract_x
_atom_site_fract_y
_atom_site_fract_z
_atom_site_occupancy
La1 La 0.000 0.000 0.250 1
Si1 Si 0.171 0.329 0.118 1
Ni1 Ni 0.000 0.500 0.000 1
Ni2 Ni 0.069 0.204 0.500 1
Ni3 Ni 0.130 0.370 0.316 1
```

Number 1: density 9.39 g cm⁻³, total energy -9.25 eV/atom. Number 2: density 6.46 g cm⁻³, total energy -5.23 eV/atom. Number 3: density 7.99 g cm⁻³, total energy -3.30 eV/atom. Number 4: density 7.36 g cm⁻³, total energy -6.08 eV/atom.